Model one:
VASP calculation (SCAN) on a PBEsol-optimized structure of Zn4Cu.

Its magnetic moment is 0.0000 μB/atom.

It has space group P-3m1 (No. 164), with a = 2.5969 Å, b = 2.5969 Å, c = 12.1197 Å, α = 90.00°, β = 90.00° and γ = 120.00°. The inequivalent atoms are Zn at (0.3333, 0.6667, 0.1739), Zn at (0.3333, 0.6667, 0.4009) and Cu at (0.0000, 0.0000, 0.0000).


Model two:
VASP calculation (SCAN) on a PBEsol-optimized structure of Zn4Cu.

Its magnetic moment is 0.0000 μB/atom.

It has space group I4/m (No. 87), with a = 5.9511 Å, b = 5.9511 Å, c = 3.7205 Å, α = 90.00°, β = 90.00° and γ = 90.00°. The inequivalent atoms are Zn at (0.1010, 0.7028, 0.0000) and Cu at (0.0000, 0.0000, 0.5000).


On energetic grounds, model two is preferred over the next structure by 88 meV per atom.


Model one:
VASP calculation (SCAN) on a PBEsol-optimized structure of Zr4Cu3.

Its magnetic moment is 0.0000 μB/atom.

It has space group I4/mmm (No. 139), with a = 3.2166 Å, b = 3.2166 Å, c = 23.8537 Å, α = 90.00°, β = 90.00° and γ = 90.00°. The inequivalent atoms are Zr at (0.0000, 0.0000, 0.0705), Zr at (0.0000, 0.0000, 0.3420), Cu at (0.0000, 0.0000, 0.2252) and Cu at (0.0000, 0.0000, 0.5000).


Model two:
VASP calculation (SCAN) on a PBEsol-optimized structure of Zr4Cu3.

Its magnetic moment is 0.0000 μB/atom.

It has space group P6/mmm (No. 191), with a = 5.0986 Å, b = 5.0986 Å, c = 5.3248 Å, α = 90.00°, β = 90.00° and γ = 120.00°. The inequivalent atoms are Zr at (0.0000, 0.0000, 0.2485), Zr at (0.3333, 0.6667, 0.0000) and Cu at (0.0000, 0.5000, 0.5000).


On energetic grounds, model one is preferred over the next structure by 53 meV per atom.


Model one:
VASP calculation (SCAN) on a PBEsol-optimized structure of Dy.

Its magnetic moment is 0.0145 μB/atom.

It has space group P6/mmm (No. 191), with a = 5.4721 Å, b = 5.4721 Å, c = 3.3852 Å, α = 90.00°, β = 90.00° and γ = 120.00°. The inequivalent atoms are Dy at (0.0000, 0.0000, 0.0000) and Dy at (0.3333, 0.6667, 0.5000).


Model two:
VASP calculation (SCAN) on a PBEsol-optimized structure of Dy.

Its magnetic moment is 0.0285 μB/atom.

It has space group R-3m (No. 166, hexagonal axes), with a = 3.4904 Å, b = 3.4904 Å, c = 25.0883 Å, α = 90.00°, β = 90.00° and γ = 120.00°. The inequivalent atoms are Dy at (0.0000, 0.0000, 0.0000) and Dy at (0.0000, 0.0000, 0.2223).


Model three:
VASP calculation (SCAN) on a PBEsol-optimized structure of Dy.

Its magnetic moment is 0.0017 μB/atom.

It has space group Fm-3m (No. 225), with a = 4.8949 Å, b = 4.8949 Å, c = 4.8949 Å, α = 90.00°, β = 90.00° and γ = 90.00°. The inequivalent atoms are Dy at (0.0000, 0.0000, 0.0000).


Model four:
VASP calculation (SCAN) on a PBEsol-optimized structure of Dy.

Its magnetic moment is 0.1403 μB/atom.

It has space group P6_3/mmc (No. 194), with a = 3.5250 Å, b = 3.5250 Å, c = 5.5328 Å, α = 90.00°, β = 90.00° and γ = 120.00°. The inequivalent atoms are Dy at (0.3333, 0.6667, 0.2500).


On energetic grounds, model two is preferred over the next structure by 10 meV per atom.


Model one:
VASP calculation (SCAN) on a PBEsol-optimized structure of Dy2MgS4.

Its magnetic moment is 0.0000 μB/atom.

It has space group I-42d (No. 122), with a = 8.0362 Å, b = 8.0362 Å, c = 8.3567 Å, α = 90.00°, β = 90.00° and γ = 90.00°. The inequivalent atoms are Dy at (0.1285, 0.7500, 0.1250), Mg at (0.0000, 0.0000, 0.5000) and S at (0.0697, 0.6909, 0.4423).


Model two:
VASP calculation (SCAN) on a PBEsol-optimized structure of Dy2MgS4.

Its magnetic moment is 0.0000 μB/atom.

It has space group Pnma (No. 62), with a = 12.4665 Å, b = 3.8036 Å, c = 13.1378 Å, α = 90.00°, β = 90.00° and γ = 90.00°. The inequivalent atoms are Dy at (0.1170, 0.2500, 0.0771), Dy at (0.1387, 0.2500, 0.7054), Mg at (0.1139, 0.7500, 0.4491), S at (0.0096, 0.7500, 0.6163), S at (0.0286, 0.2500, 0.8838), S at (0.2247, 0.2500, 0.2528) and S at (0.2397, 0.2500, 0.5160).


Model three:
VASP calculation (SCAN) on a PBEsol-optimized structure of Dy2MgS4.

Its magnetic moment is 0.0000 μB/atom.

It has space group Fd-3m (No. 227, origin choice 2), with a = 11.0428 Å, b = 11.0428 Å, c = 11.0428 Å, α = 90.00°, β = 90.00° and γ = 90.00°. The inequivalent atoms are Dy at (0.0000, 0.0000, 0.0000), Mg at (0.1250, 0.1250, 0.6250) and S at (0.0048, 0.0048, 0.2452).


On energetic grounds, model three is preferred over the next structure by 63 meV per atom.